(1)
This record from Alexandria describes an optimized crystal structure of SrMoPt. The functional is PBE.

Calculated values
**Magnetization**: 0.00 μB/f.u.
**Excess energy over the best structure of this formula in the dataset**: 0.0661 eV per atom
**E_tot**: -6.25 eV per atom
**Energy of formation from the pure elements**: -6.4 kJ/mol of atoms

Lattice parameters (Å, degrees): 3.3906 3.3204 11.6199 90.00 92.07 90.00
Sites, in units of the cell vectors:
Sr: 0.0000 0.0000 0.0000
Sr: 0.0413 0.0000 0.3452
Mo: 0.1042 0.0000 0.6711
Mo: 0.5043 0.5000 0.7805
Pt: 0.5192 0.5000 0.1696
Pt: 0.5597 0.5000 0.5344

(2)
This record from Alexandria describes an optimized crystal structure of Ba2DyTa3O12. The functional is PBE.

Calculated values
**Magnetization**: 2.07 μB/f.u.
**E_tot**: -8.48 eV per atom
**E_form (uncorrected)**: -2728 meV per atom

Lattice parameters (Å, degrees): 7.1744 7.1744 7.1744 64.01 64.01 64.01
Sites, in units of the cell vectors:
Ba: 0.1264 0.1264 0.1264
Ba: 0.8736 0.8736 0.8736
Dy: 0.5000 0.5000 0.5000
Ta: 0.0000 0.5000 0.5000
Ta: 0.5000 0.0000 0.5000
Ta: 0.5000 0.5000 0.0000
O: 0.1175 0.6169 0.6169
O: 0.2114 0.2114 0.5867
O: 0.2114 0.5867 0.2114
O: 0.3831 0.3831 0.8825
O: 0.3831 0.8825 0.3831
O: 0.4133 0.7886 0.7886
O: 0.5867 0.2114 0.2114
O: 0.6169 0.1175 0.6169
O: 0.6169 0.6169 0.1175
O: 0.7886 0.4133 0.7886
O: 0.7886 0.7886 0.4133
O: 0.8825 0.3831 0.3831

(3)
This record from Alexandria describes an optimized crystal structure of MnSi2Ag. The functional is PBE.

Calculated values
**Magnetization**: 2.00 μB/f.u.
**Excess energy over the best structure of this formula in the dataset**: 0.3119 eV per atom
**E_tot**: -5.44 eV per atom
**E_form (uncorrected)**: 275 meV per atom

Lattice parameters (Å, degrees): 3.8714 3.8714 7.5232 90.00 90.00 90.00
Sites, in units of the cell vectors:
Mn: 0.0000 0.0000 0.0000
Mn: 0.5000 0.5000 0.5000
Si: 0.0000 0.5000 0.2500
Si: 0.0000 0.5000 0.7500
Si: 0.5000 0.0000 0.2500
Si: 0.5000 0.0000 0.7500
Ag: 0.0000 0.0000 0.5000
Ag: 0.5000 0.5000 0.0000

(4)
This record from Alexandria describes an optimized crystal structure of K2TcI4Cl2. The functional is PBE.

Calculated values
**Magnetization**: 3.05 μB/f.u.
**E_tot**: -3.40 eV per atom
**E_form (uncorrected)**: -903 meV per atom

Lattice parameters (Å, degrees): 7.6866 7.6866 8.0230 120.86 120.86 62.99
Sites, in units of the cell vectors:
K: 0.2489 0.2489 0.2876
K: 0.7511 0.7511 0.7124
Tc: 0.0000 0.0000 0.5000
I: 0.2091 0.7243 0.2274
I: 0.2757 0.7909 0.7726
I: 0.7243 0.2091 0.2274
I: 0.7909 0.2757 0.7726
Cl: 0.2229 0.2229 0.6645
Cl: 0.7771 0.7771 0.3355

(5)
This record from Alexandria describes an optimized crystal structure of TmCo2W. The functional is PBE.

Calculated values
**Magnetization**: 0.00 μB/f.u.
**Excess energy over the best structure of this formula in the dataset**: 0.0230 eV per atom
**E_tot**: -7.89 eV per atom
**Energy of formation from the pure elements**: 2.3 kJ/mol of atoms

Lattice parameters (Å, degrees): 3.0407 3.0407 6.7579 90.00 90.00 90.00
Sites, in units of the cell vectors:
Tm: 0.0000 0.0000 0.0000
Co: 0.5000 0.5000 0.3029
Co: 0.5000 0.5000 0.6971
W: 0.0000 0.0000 0.5000

(6)
This record from Alexandria describes an optimized crystal structure of LaPuAsS. The functional is PBE.

Calculated values
**Magnetization**: 5.50 μB/f.u.
**E_tot**: -8.65 eV per atom
**E_form (uncorrected)**: -1638 meV per atom

Lattice parameters (Å, degrees): 4.1848 4.1848 20.2540 90.00 90.00 120.00
Sites, in units of the cell vectors:
La: 0.0000 0.0000 0.0000
La: 0.3333 0.6667 0.6667
La: 0.6667 0.3333 0.3333
Pu: 0.0000 0.0000 0.4956
Pu: 0.3333 0.6667 0.1622
Pu: 0.6667 0.3333 0.8289
As: 0.0000 0.0000 0.2435
As: 0.3333 0.6667 0.9102
As: 0.6667 0.3333 0.5768
S: 0.0000 0.0000 0.7534
S: 0.3333 0.6667 0.4201
S: 0.6667 0.3333 0.0867

Question: What is the E_tot in the sixth record?
Answer: -8.65 eV per atom

Question: Which of these has the highest magnetization?
Answer: LaPuAsS

Repeat the first record exactly.
This record from Alexandria describes an optimized crystal structure of SrMoPt. The functional is PBE.

Calculated values
**Magnetization**: 0.00 μB/f.u.
**Excess energy over the best structure of this formula in the dataset**: 0.0661 eV per atom
**E_tot**: -6.25 eV per atom
**Energy of formation from the pure elements**: -6.4 kJ/mol of atoms

Lattice parameters (Å, degrees): 3.3906 3.3204 11.6199 90.00 92.07 90.00
Sites, in units of the cell vectors:
Sr: 0.0000 0.0000 0.0000
Sr: 0.0413 0.0000 0.3452
Mo: 0.1042 0.0000 0.6711
Mo: 0.5043 0.5000 0.7805
Pt: 0.5192 0.5000 0.1696
Pt: 0.5597 0.5000 0.5344